{
  "formula": "Sr2HfInCo",
  "functional": "PBE",
  "state": "relaxed",
  "energy_ev_per_atom": -4.372,
  "ef_ev_per_atom": 0.260,
  "dos_ef_per_ev_fu": 5.23,
  "volume_a3_per_atom": 31.4,
  "lattice": [[-1.8355, -5.0469, 2.2010], [2.6122, -2.3004, -3.0963], [4.4412, 0.0142, 3.7363]],
  "species": ["Co", "In", "Sr", "Sr", "Hf"],
  "frac_coords": [[0.0000, 0.0000, 0.0000], [0.5000, 0.5000, 0.5000], [0.5000, 0.0000, 0.0000], [0.0000, 0.0000, 0.5000], [0.0000, 0.5000, 0.0000]]
}